[1]
Tb2SnRu | the Alexandria database | GGA-PBE | optimized geometry; SG = No. 123; density = 9.40 g/cm³; energy relative to the elements = -207 kJ/mol of formula units
1.0
3.403 0.000 0.000
0.000 3.403 0.000
0.000 0.000 8.196
Tb Sn Ru
2 1 1
Cartesian
0.000 0.000 1.690 Tb
0.000 0.000 6.506 Tb
1.702 1.702 4.098 Sn
1.702 1.702 0.000 Ru


[2]
Tb12Sn6Ru | the Alexandria database | GGA-PBE | optimized geometry; SG = No. 148; density = 7.32 g/cm³; energy relative to the elements = -737 kJ/mol of formula units
1.0
6.597 3.809 4.091
-6.597 3.809 4.091
0.000 -7.617 4.091
Tb Sn Ru
12 6 1
Cartesian
-4.409 -4.504 6.747 Tb
-6.105 1.566 5.525 Tb
-1.526 -1.899 4.826 Tb
1.696 -6.070 5.525 Tb
-0.881 2.271 4.826 Tb
-2.407 0.372 7.447 Tb
2.407 -0.372 4.826 Tb
0.881 -2.271 7.447 Tb
-1.696 6.070 6.747 Tb
1.526 1.899 7.447 Tb
6.105 -1.566 6.747 Tb
4.409 4.504 5.525 Tb
-3.398 0.543 4.381 Sn
1.229 -3.214 4.381 Sn
-2.169 -2.672 7.892 Sn
2.169 2.672 4.381 Sn
-1.229 3.214 7.892 Sn
3.398 -0.543 7.892 Sn
0.000 0.000 0.000 Ru


[3]
TbSn4Ru | the Alexandria database | GGA-PBE | optimized geometry; SG = No. 137; density = 6.96 g/cm³; energy relative to the elements = 117 kJ/mol of formula units
1.0
6.091 0.000 0.000
0.000 6.091 0.000
0.000 0.000 9.456
Tb Sn Ru
2 8 2
Cartesian
1.523 4.568 2.364 Tb
4.568 1.523 7.092 Tb
0.121 1.523 0.390 Sn
1.523 0.121 5.118 Sn
1.523 2.925 5.118 Sn
2.925 1.523 0.390 Sn
3.166 4.568 9.067 Sn
4.568 3.166 4.338 Sn
4.568 5.970 4.338 Sn
5.970 4.568 9.067 Sn
1.523 4.568 7.092 Ru
4.568 1.523 2.364 Ru


What is the formula in the first record? Tb2SnRu


What did the third record say?
TbSn4Ru | the Alexandria database | GGA-PBE | optimized geometry; SG = No. 137; density = 6.96 g/cm³; energy relative to the elements = 117 kJ/mol of formula units
1.0
6.091 0.000 0.000
0.000 6.091 0.000
0.000 0.000 9.456
Tb Sn Ru
2 8 2
Cartesian
1.523 4.568 2.364 Tb
4.568 1.523 7.092 Tb
0.121 1.523 0.390 Sn
1.523 0.121 5.118 Sn
1.523 2.925 5.118 Sn
2.925 1.523 0.390 Sn
3.166 4.568 9.067 Sn
4.568 3.166 4.338 Sn
4.568 5.970 4.338 Sn
5.970 4.568 9.067 Sn
1.523 4.568 7.092 Ru
4.568 1.523 2.364 Ru


Please write out number 3 again, unchanged.
TbSn4Ru | the Alexandria database | GGA-PBE | optimized geometry; SG = No. 137; density = 6.96 g/cm³; energy relative to the elements = 117 kJ/mol of formula units
1.0
6.091 0.000 0.000
0.000 6.091 0.000
0.000 0.000 9.456
Tb Sn Ru
2 8 2
Cartesian
1.523 4.568 2.364 Tb
4.568 1.523 7.092 Tb
0.121 1.523 0.390 Sn
1.523 0.121 5.118 Sn
1.523 2.925 5.118 Sn
2.925 1.523 0.390 Sn
3.166 4.568 9.067 Sn
4.568 3.166 4.338 Sn
4.568 5.970 4.338 Sn
5.970 4.568 9.067 Sn
1.523 4.568 7.092 Ru
4.568 1.523 2.364 Ru